A relaxed structure of NaTlGePd, computed with PBE.

- excess energy over the best structure of this formula in the dataset (eV/atom) = 0.0000
- calculated total energy (Ry/atom) = -0.253

a = 4.826 Å, b = 4.826 Å, c = 4.826 Å
α = 60.00°, β = 60.00°, γ = 60.00°
Fractional positions:
Ge1 0.000 0.000 0.000
Pd1 0.250 0.250 0.250
Na1 0.750 0.750 0.750
Tl1 0.500 0.500 0.500